Compound: Au2Se
Source: Alexandria
Functional: PBE
Structure: relaxed

DFT total energy, eV/atom: -3.1758
SG: No. 12
Magnetization, Bohr magnetons per cell: 0.000
E_form (uncorrected), eV per atom: 0.1706

Lattice parameters (Å, degrees): 7.914 7.914 6.269 77.38 77.38 20.67
Element x y z (fractional)
1 Au 0.848 0.848 0.135
2 Au 0.192 0.192 0.390
3 Au 0.152 0.152 0.865
4 Au 0.808 0.808 0.610
5 Se 0.427 0.427 0.778
6 Se 0.573 0.573 0.222

---

Compound: Au3Se
Source: Alexandria
Functional: PBE
Structure: relaxed

DFT total energy, eV/atom: -3.1352
SG: No. 65
Magnetization, Bohr magnetons per cell: 0.000
E_form (uncorrected), eV per atom: 0.1940

Lattice parameters (Å, degrees): 2.851 2.851 9.627 90.00 90.00 102.63
Element x y z (fractional)
1 Au 0.000 0.000 0.987
2 Au 0.500 0.500 0.750
3 Au 0.000 0.000 0.513
4 Se 0.500 0.500 0.250

---

Compound: AuSe
Source: Alexandria
Functional: PBE
Structure: relaxed

DFT total energy, eV/atom: -3.2007
SG: No. 63
Magnetization, Bohr magnetons per cell: 0.000
E_form (uncorrected), eV per atom: 0.1803

Lattice parameters (Å, degrees): 5.743 5.743 3.840 90.00 90.00 139.87
Element x y z (fractional)
1 Au 0.608 0.392 0.750
2 Au 0.392 0.608 0.250
3 Se 0.857 0.143 0.750
4 Se 0.143 0.857 0.250

---

Compound: Au4Se
Source: Alexandria
Functional: PBE
Structure: relaxed

DFT total energy, eV/atom: -3.1455
SG: No. 87
Magnetization, Bohr magnetons per cell: 0.000
E_form (uncorrected), eV per atom: 0.1733

Lattice parameters (Å, degrees): 5.135 5.135 5.135 100.22 100.22 130.17
Element x y z (fractional)
1 Au 0.196 0.603 0.799
2 Au 0.603 0.804 0.407
3 Au 0.804 0.397 0.201
4 Au 0.397 0.196 0.593
5 Se 0.000 0.000 0.000

---

> Which formula does entry 3 have?

AuSe

---

Repeat the first record exactly.
Compound: Au2Se
Source: Alexandria
Functional: PBE
Structure: relaxed

DFT total energy, eV/atom: -3.1758
SG: No. 12
Magnetization, Bohr magnetons per cell: 0.000
E_form (uncorrected), eV per atom: 0.1706

Lattice parameters (Å, degrees): 7.914 7.914 6.269 77.38 77.38 20.67
Element x y z (fractional)
1 Au 0.848 0.848 0.135
2 Au 0.192 0.192 0.390
3 Au 0.152 0.152 0.865
4 Au 0.808 0.808 0.610
5 Se 0.427 0.427 0.778
6 Se 0.573 0.573 0.222

---

> Among the records above, which one has the highest E_form (uncorrected)?

Au3Se